1:
First-principles (GGA-PBE) data for a geometry-optimized Al2V2Ru structure, as listed in Alexandria via LeMat-Bulk.

```
Al2V2Ru
1.0
-0.170 -0.449 6.893
6.673 -1.794 0.048
0.799 2.976 0.214
Ru Al V
2 4 4
Direct
0.000 0.000 0.000 Ru
0.500 0.500 0.000 Ru
0.193 0.693 0.500 Al
0.693 0.807 0.500 Al
0.807 0.307 0.500 Al
0.307 0.193 0.500 Al
0.396 0.896 0.000 V
0.896 0.604 0.000 V
0.604 0.104 0.000 V
0.104 0.396 0.000 V
```

- volume (Å³ per atom) = 14.746
- mass density (g/cm3) = 5.8


2:
First-principles (GGA-PBE) data for a geometry-optimized Al2V2Ru structure, as listed in Alexandria via LeMat-Bulk.

```
Al2V2Ru
1.0
6.614 0.000 0.000
0.000 6.614 0.000
0.000 0.000 3.278
Ru Al V
2 4 4
Direct
0.000 0.000 0.000 Ru
0.500 0.500 0.000 Ru
0.364 0.864 0.000 Al
0.864 0.636 0.000 Al
0.636 0.136 0.000 Al
0.136 0.364 0.000 Al
0.165 0.665 0.500 V
0.665 0.835 0.500 V
0.835 0.335 0.500 V
0.335 0.165 0.500 V
```

- volume (Å³ per atom) = 14.338
- mass density (g/cm3) = 6.0


The structure with the most favorable energy is 2; the runner-up is 285 meV/atom above it.


1:
First-principles (GGA-PBE) data for a geometry-optimized Al2VRu2 structure, as listed in Alexandria via LeMat-Bulk.

```
Al2VRu2
1.0
6.977 0.000 0.000
0.000 6.977 0.000
0.000 0.000 2.951
Ru Al V
4 4 2
Direct
0.167 0.667 0.500 Ru
0.667 0.833 0.500 Ru
0.833 0.333 0.500 Ru
0.333 0.167 0.500 Ru
0.368 0.868 0.000 Al
0.868 0.632 0.000 Al
0.632 0.132 0.000 Al
0.132 0.368 0.000 Al
0.000 0.000 0.000 V
0.500 0.500 0.000 V
```

- volume (Å³ per atom) = 14.363
- mass density (g/cm3) = 7.1


2:
First-principles (GGA-PBE) data for a geometry-optimized Al2VRu2 structure, as listed in Alexandria via LeMat-Bulk.

```
Al2VRu2
1.0
6.886 0.000 0.000
0.000 6.886 0.000
0.000 0.000 3.065
Ru Al V
4 4 2
Direct
0.349 0.849 0.000 Ru
0.849 0.651 0.000 Ru
0.651 0.151 0.000 Ru
0.151 0.349 0.000 Ru
0.148 0.648 0.500 Al
0.648 0.852 0.500 Al
0.852 0.352 0.500 Al
0.352 0.148 0.500 Al
0.000 0.000 0.000 V
0.500 0.500 0.000 V
```

- volume (Å³ per atom) = 14.535
- mass density (g/cm3) = 7.0


The structure with the most favorable energy is 1; the runner-up is 41 meV/atom above it.


1:
First-principles (GGA-PBE) data for a geometry-optimized AlV3Ru structure, as listed in Alexandria via LeMat-Bulk.

```
AlV3Ru
1.0
4.359 0.000 0.000
0.000 4.359 0.000
0.000 0.000 4.359
Ru Al V
1 1 3
Direct
0.500 0.500 0.500 Ru
0.000 0.000 0.000 Al
0.000 0.500 0.000 V
0.000 0.000 0.500 V
0.500 0.000 0.000 V
```

- volume (Å³ per atom) = 16.560
- mass density (g/cm3) = 5.6


2:
First-principles (GGA-PBE) data for a geometry-optimized AlV3Ru structure, as listed in Alexandria via LeMat-Bulk.

```
AlV3Ru
1.0
-0.240 -1.968 4.067
4.360 0.967 0.726
-1.185 3.958 1.845
Ru Al V
1 1 3
Direct
0.000 0.000 0.000 Ru
0.500 0.500 0.500 Al
0.000 0.500 0.000 V
0.000 0.000 0.500 V
0.500 0.000 0.000 V
```

- volume (Å³ per atom) = 18.528
- mass density (g/cm3) = 5.0


The structure with the most favorable energy is 2; the runner-up is 486 meV/atom above it.